Computed, not measured: an optimized crystal structure of Zr2V2Ga at the PBE level of DFT. Values from VASP.

```
&SYSTEM
  ibrav = 0, nat = 10, ntyp = 3
/
ATOMIC_SPECIES
Zr 91.22 Zr.upf
V 50.94 V.upf
Ga 69.72 Ga.upf
CELL_PARAMETERS angstrom
6.772 0.000 0.000
0.000 6.772 0.000
0.000 0.000 3.919
ATOMIC_POSITIONS crystal
Zr 0.177 0.323 0.000
Zr 0.323 0.823 0.000
Zr 0.677 0.177 0.000
Zr 0.823 0.677 0.000
V 0.122 0.622 0.500
V 0.378 0.122 0.500
V 0.622 0.878 0.500
V 0.878 0.378 0.500
Ga 0.000 0.000 0.500
Ga 0.500 0.500 0.500
```

Properties
distance to the lowest polymorph of the same formula: 0 meV/atom
SG: P4/mbm
Fermi-level density of states: 11.3 states/eV/cell
DFT formation energy: -64 meV/atom
raw total energy: -38.68 eV per formula unit


Computed, not measured: an optimized crystal structure of Ac2MgZn3Ag4 at the PBE level of DFT. Values from VASP.

```
&SYSTEM
  ibrav = 0, nat = 10, ntyp = 4
/
ATOMIC_SPECIES
Ac 227.00 Ac.upf
Mg 24.30 Mg.upf
Zn 65.41 Zn.upf
Ag 107.87 Ag.upf
CELL_PARAMETERS angstrom
4.414 0.000 0.000
0.000 4.414 0.000
0.000 0.000 11.888
ATOMIC_POSITIONS crystal
Ac 0.000 0.500 0.238
Ac 0.500 0.000 0.762
Mg 0.000 0.000 0.500
Zn 0.000 0.500 0.870
Zn 0.500 0.000 0.130
Zn 0.500 0.500 0.500
Ag 0.000 0.000 0.000
Ag 0.000 0.500 0.643
Ag 0.500 0.000 0.357
Ag 0.500 0.500 0.000
```

Properties
SG: P-4m2
Fermi-level density of states: 5.1 states/eV/cell
DFT formation energy: -254 meV/atom
raw total energy: -27.58 eV per formula unit


Computed, not measured: an optimized crystal structure of Tb3Th2Sc4 at the PBE level of DFT. Values from VASP.

```
&SYSTEM
  ibrav = 0, nat = 18, ntyp = 3
/
ATOMIC_SPECIES
Tb 158.93 Tb.upf
Th 232.04 Th.upf
Sc 44.96 Sc.upf
CELL_PARAMETERS angstrom
7.994 -5.615 0.000
7.994 5.615 0.000
-0.803 0.000 5.728
ATOMIC_POSITIONS crystal
Tb 0.124 0.876 0.750
Tb 0.223 0.455 0.895
Tb 0.455 0.223 0.395
Tb 0.545 0.777 0.605
Tb 0.777 0.545 0.105
Tb 0.876 0.124 0.250
Th 0.006 0.752 0.208
Th 0.248 0.994 0.292
Th 0.752 0.006 0.708
Th 0.994 0.248 0.792
Sc 0.096 0.366 0.344
Sc 0.328 0.573 0.462
Sc 0.366 0.096 0.844
Sc 0.427 0.672 0.038
Sc 0.573 0.328 0.962
Sc 0.634 0.904 0.156
Sc 0.672 0.427 0.538
Sc 0.904 0.634 0.656
```

Properties
distance to the lowest polymorph of the same formula: 70 meV/atom
SG: C2/c
Fermi-level density of states: 26.6 states/eV/cell
DFT formation energy: 116 meV/atom
raw total energy: -53.01 eV per formula unit


Computed, not measured: an optimized crystal structure of MgTlGaBi at the PBE level of DFT. Values from VASP.

```
&SYSTEM
  ibrav = 0, nat = 4, ntyp = 4
/
ATOMIC_SPECIES
Mg 24.30 Mg.upf
Tl 204.38 Tl.upf
Ga 69.72 Ga.upf
Bi 208.98 Bi.upf
CELL_PARAMETERS angstrom
0.000 3.745 3.745
3.745 0.000 3.745
3.745 3.745 0.000
ATOMIC_POSITIONS crystal
Mg 0.000 0.000 0.000
Tl 0.750 0.750 0.750
Ga 0.500 0.500 0.500
Bi 0.250 0.250 0.250
```

Properties
SG: F-43m
Fermi-level density of states: 1.7 states/eV/cell
DFT formation energy: 11 meV/atom
raw total energy: -10.82 eV per formula unit


Computed, not measured: an optimized crystal structure of KBrO at the PBE level of DFT. Values from VASP.

```
&SYSTEM
  ibrav = 0, nat = 12, ntyp = 3
/
ATOMIC_SPECIES
K 39.10 K.upf
Br 79.90 Br.upf
O 16.00 O.upf
CELL_PARAMETERS angstrom
5.089 0.000 0.000
0.000 6.852 0.000
0.000 0.000 8.112
ATOMIC_POSITIONS crystal
K 0.036 0.250 0.000
K 0.036 0.250 0.500
K 0.964 0.750 0.000
K 0.964 0.750 0.500
Br 0.467 0.713 0.250
Br 0.467 0.787 0.750
Br 0.533 0.213 0.250
Br 0.533 0.287 0.750
O 0.233 0.007 0.750
O 0.233 0.493 0.250
O 0.767 0.507 0.750
O 0.767 0.993 0.250
```

Properties
formation energy (no corrections): -0.863 eV/atom
SG: Pbcm
Fermi-level density of states: 0.0 states/eV/cell
raw total energy: -10.32 eV per formula unit


Computed, not measured: an optimized crystal structure of La6Sb3H at the PBE level of DFT. Values from VASP.

```
&SYSTEM
  ibrav = 0, nat = 20, ntyp = 3
/
ATOMIC_SPECIES
La 138.91 La.upf
Sb 121.76 Sb.upf
H 1.01 H.upf
CELL_PARAMETERS angstrom
6.104 -7.954 0.000
6.104 7.954 0.000
0.000 0.000 6.485
ATOMIC_POSITIONS crystal
La 0.079 0.921 0.500
La 0.093 0.543 0.274
La 0.270 0.352 0.824
La 0.273 0.727 0.766
La 0.352 0.270 0.324
La 0.457 0.907 0.274
La 0.543 0.093 0.774
La 0.648 0.730 0.824
La 0.727 0.273 0.266
La 0.730 0.648 0.324
La 0.907 0.457 0.774
La 0.921 0.079 0.000
Sb 0.033 0.240 0.484
Sb 0.240 0.033 0.984
Sb 0.409 0.591 0.155
Sb 0.591 0.409 0.655
Sb 0.760 0.967 0.484
Sb 0.967 0.760 0.984
H 0.225 0.775 0.415
H 0.775 0.225 0.915
```

Properties
SG: Cmc2_1
Fermi-level density of states: 19.0 states/eV/cell
raw total energy: -52.47 eV per formula unit


Computed, not measured: an optimized crystal structure of Ac2In3Pt at the PBE level of DFT. Values from VASP.

```
&SYSTEM
  ibrav = 0, nat = 6, ntyp = 3
/
ATOMIC_SPECIES
Ac 227.00 Ac.upf
In 114.82 In.upf
Pt 195.08 Pt.upf
CELL_PARAMETERS angstrom
5.782 -2.465 0.000
5.782 2.465 0.000
-5.364 0.000 5.999
ATOMIC_POSITIONS crystal
Ac 0.000 0.000 0.000
Ac 0.111 0.111 0.619
In 0.382 0.382 0.203
In 0.409 0.409 0.619
In 0.723 0.723 0.384
Pt 0.728 0.728 0.006
```

Properties
distance to the lowest polymorph of the same formula: 0 meV/atom
SG: Cm
Fermi-level density of states: 4.4 states/eV/cell
DFT formation energy: -642 meV/atom
raw total energy: -26.32 eV per formula unit


Computed, not measured: an optimized crystal structure of AlCo2RuPt at the PBE level of DFT. Values from VASP.

```
&SYSTEM
  ibrav = 0, nat = 5, ntyp = 4
/
ATOMIC_SPECIES
Al 26.98 Al.upf
Co 58.93 Co.upf
Ru 101.07 Ru.upf
Pt 195.08 Pt.upf
CELL_PARAMETERS angstrom
4.547 0.000 0.000
0.000 4.547 0.000
0.000 0.000 4.809
ATOMIC_POSITIONS crystal
Al 0.000 0.000 0.000
Co 0.000 0.500 0.500
Co 0.500 0.000 0.500
Ru 0.500 0.500 0.000
Pt 0.500 0.500 0.500
```

Properties
SG: P4/mmm
Fermi-level density of states: 7.5 states/eV/cell
DFT formation energy: 1352 meV/atom
raw total energy: -26.51 eV per formula unit